# 1
## TbPm2Er3S6 (GGA-PBE)

Data for crystalline TbPm2Er3S6 at its relaxed geometry.

Computed properties:
formation energy (no corrections) = -1993.4 meV/atom
spin magnetization = 0.00 μB/f.u.
E = -76.51 eV for the cell shown
SG = C2/m, No. 12

Cell: 8.8059 8.8059 7.9289 Å, 103.77 103.77 25.63°
Last column: nearest neighbours and their distance in Å.
Sites, in units of the cell vectors:
Tb  0.0000  0.0000  0.0000  6 S 2.79-2.81
Pm  0.3327  0.3327  0.6653  6 S 2.83-2.85
Pm  0.6673  0.6673  0.3347  6 S 2.83-2.85
Er  0.0000  0.0000  0.5000  6 S 2.71-2.76
Er  0.3320  0.3320  0.1668  6 S 2.72-2.74
Er  0.6680  0.6680  0.8332  6 S 2.72-2.74
S  0.1628  0.1628  0.5926  3 Er 2.71-2.72, 3 Pm 2.83-2.84
S  0.1674  0.1674  0.0728  3 Er 2.73-2.74, 1 Tb 2.79, 2 Pm 2.85
S  0.4962  0.4962  0.2522  3 Er 2.73-2.76, 2 Tb 2.81, 1 Pm 2.85
S  0.5038  0.5038  0.7478  3 Er 2.73-2.76, 2 Tb 2.81, 1 Pm 2.85
S  0.8326  0.8326  0.9272  3 Er 2.73-2.74, 1 Tb 2.79, 2 Pm 2.85
S  0.8372  0.8372  0.4074  3 Er 2.71-2.72, 3 Pm 2.83-2.84

# 2
## TbPm3Er3S8 (GGA-PBE)

Data for crystalline TbPm3Er3S8 at its relaxed geometry.

Computed properties:
formation energy (no corrections) = -2048.2 meV/atom
spin magnetization = 0.00 μB/f.u.
E = -96.31 eV for the cell shown
SG = R-3m, No. 166

Cell: 7.9183 7.9183 7.9183 Å, 59.41 59.41 59.41°
Last column: nearest neighbours and their distance in Å.
Sites, in units of the cell vectors:
Tb  0.0000  0.0000  0.0000  6 S 2.78
Pm  0.0000  0.0000  0.5000  6 S 2.85
Pm  0.0000  0.5000  0.0000  6 S 2.85
Pm  0.5000  0.0000  0.0000  6 S 2.85
Er  0.0000  0.5000  0.5000  6 S 2.73
Er  0.5000  0.0000  0.5000  6 S 2.73
Er  0.5000  0.5000  0.0000  6 S 2.73
S  0.2496  0.2496  0.7401  2 Er 2.73, 1 Tb 2.78, 2 Pm 2.85
S  0.2496  0.7401  0.2496  2 Er 2.73, 1 Tb 2.78, 2 Pm 2.85
S  0.2550  0.2550  0.2550  3 Er 2.73, 3 Pm 2.85
S  0.2599  0.7504  0.7504  2 Er 2.73, 1 Tb 2.78, 2 Pm 2.85
S  0.7401  0.2496  0.2496  2 Er 2.73, 1 Tb 2.78, 2 Pm 2.85
S  0.7450  0.7450  0.7450  3 Er 2.73, 3 Pm 2.85
S  0.7504  0.2599  0.7504  2 Er 2.73, 1 Tb 2.78, 2 Pm 2.85
S  0.7504  0.7504  0.2599  2 Er 2.73, 1 Tb 2.78, 2 Pm 2.85

# 3
## TbPmEr2S6 (GGA-PBE)

Data for crystalline TbPmEr2S6 at its relaxed geometry.

Computed properties:
formation energy (no corrections) = -2052.4 meV/atom
spin magnetization = 0.00 μB/f.u.
E = -63.80 eV for the cell shown
SG = R3, No. 146

Cell: 7.3552 7.3552 7.3552 Å, 56.34 56.34 56.34°
Last column: nearest neighbours and their distance in Å.
Sites, in units of the cell vectors:
Tb  0.0000  0.0000  0.0000  6 S 2.74-2.80
Pm  0.5036  0.5036  0.5036  6 S 2.78-2.88
Er  0.3002  0.3002  0.3002  6 S 2.69-2.76
Er  0.7981  0.7981  0.7981  6 S 2.70-2.76
S  0.0897  0.4060  0.6947  2 Er 2.70-2.76, 1 Tb 2.74, 1 Pm 2.88
S  0.1840  0.9165  0.5911  2 Er 2.69-2.76, 1 Pm 2.78, 1 Tb 2.80
S  0.4060  0.6947  0.0897  2 Er 2.70-2.76, 1 Tb 2.74, 1 Pm 2.88
S  0.5911  0.1840  0.9165  2 Er 2.69-2.76, 1 Pm 2.78, 1 Tb 2.80
S  0.6947  0.0897  0.4060  2 Er 2.70-2.76, 1 Tb 2.74, 1 Pm 2.88
S  0.9165  0.5911  0.1840  2 Er 2.69-2.76, 1 Pm 2.78, 1 Tb 2.80

# 4
## TbPm4ErS8 (GGA-PBE)

Data for crystalline TbPm4ErS8 at its relaxed geometry.

Computed properties:
formation energy (no corrections) = -1920.6 meV/atom
spin magnetization = 0.00 μB/f.u.
E = -88.10 eV for the cell shown
SG = R3m, No. 160

Cell: 8.1954 8.1954 8.1954 Å, 60.09 60.09 60.09°
Last column: nearest neighbours and their distance in Å.
Sites, in units of the cell vectors:
Tb  0.0000  0.0000  0.0000  6 S 2.77-2.79
Pm  0.0002  0.0002  0.4955  6 S 2.83-2.86
Pm  0.0002  0.4955  0.0002  6 S 2.83-2.86
Pm  0.4955  0.0002  0.0002  6 S 2.83-2.86
Pm  0.6234  0.6234  0.6234  4 S 2.67-2.69
Er  0.3743  0.3743  0.3743  4 S 2.58-2.60
S  0.2220  0.7613  0.7613  3 Pm 2.69-2.83, 1 Tb 2.77
S  0.2410  0.2410  0.7624  1 Er 2.60, 1 Tb 2.79, 2 Pm 2.86
S  0.2410  0.7624  0.2410  1 Er 2.60, 1 Tb 2.79, 2 Pm 2.86
S  0.2458  0.2458  0.2458  1 Er 2.58, 3 Pm 2.85
S  0.7565  0.7565  0.7565  4 Pm 2.67-2.83
S  0.7613  0.2220  0.7613  3 Pm 2.69-2.83, 1 Tb 2.77
S  0.7613  0.7613  0.2220  3 Pm 2.69-2.83, 1 Tb 2.77
S  0.7624  0.2410  0.2410  1 Er 2.60, 1 Tb 2.79, 2 Pm 2.86

# 5
## Pm3ErTh4S8 (GGA-PBE)

Data for crystalline Pm3ErTh4S8 at its relaxed geometry.

Computed properties:
formation energy (no corrections) = -1919.1 meV/atom
spin magnetization = 0.00 μB/f.u.
E = -112.22 eV for the cell shown
SG = R-3m, No. 166

Cell: 8.1272 8.1272 8.1272 Å, 58.45 58.45 58.45°
Last column: nearest neighbours and their distance in Å.
Sites, in units of the cell vectors:
Pm  0.0000  0.5000  0.5000  6 S 2.82
Pm  0.5000  0.0000  0.5000  6 S 2.82
Pm  0.5000  0.5000  0.0000  6 S 2.82
Er  0.0000  0.0000  0.0000  6 S 2.76
Th  0.0000  0.0000  0.5000  6 S 2.86
Th  0.0000  0.5000  0.0000  6 S 2.86
Th  0.5000  0.0000  0.0000  6 S 2.86
Th  0.5000  0.5000  0.5000  6 S 2.92
S  0.2434  0.2434  0.7540  1 Er 2.76, 2 Pm 2.82, 3 Th 2.86-2.92
S  0.2434  0.7540  0.2434  1 Er 2.76, 2 Pm 2.82, 3 Th 2.86-2.92
S  0.2460  0.7566  0.7566  1 Er 2.76, 2 Pm 2.82, 3 Th 2.86-2.92
S  0.2514  0.2514  0.2514  3 Pm 2.82, 3 Th 2.86
S  0.7486  0.7486  0.7486  3 Pm 2.82, 3 Th 2.86
S  0.7540  0.2434  0.2434  1 Er 2.76, 2 Pm 2.82, 3 Th 2.86-2.92
S  0.7566  0.2460  0.7566  1 Er 2.76, 2 Pm 2.82, 3 Th 2.86-2.92
S  0.7566  0.7566  0.2460  1 Er 2.76, 2 Pm 2.82, 3 Th 2.86-2.92

# 6
## Pm4ErTh3S8 (GGA-PBE)

Data for crystalline Pm4ErTh3S8 at its relaxed geometry.

Computed properties:
formation energy (no corrections) = -1941.7 meV/atom
spin magnetization = 0.00 μB/f.u.
E = -109.91 eV for the cell shown
SG = R-3m, No. 166

Cell: 8.0534 8.0534 8.0534 Å, 59.67 59.67 59.67°
Last column: nearest neighbours and their distance in Å.
Sites, in units of the cell vectors:
Pm  0.0000  0.0000  0.0000  6 S 2.90
Pm  0.0000  0.5000  0.5000  6 S 2.83
Pm  0.5000  0.0000  0.5000  6 S 2.83
Pm  0.5000  0.5000  0.0000  6 S 2.83
Er  0.5000  0.5000  0.5000  6 S 2.78
Th  0.0000  0.0000  0.5000  6 S 2.85
Th  0.0000  0.5000  0.0000  6 S 2.85
Th  0.5000  0.0000  0.0000  6 S 2.85
S  0.2512  0.2512  0.2512  3 Pm 2.83, 3 Th 2.85
S  0.2555  0.2555  0.7430  1 Er 2.78, 3 Pm 2.83-2.90, 2 Th 2.85
S  0.2555  0.7430  0.2555  1 Er 2.78, 3 Pm 2.83-2.90, 2 Th 2.85
S  0.2570  0.7445  0.7445  1 Er 2.78, 3 Pm 2.83-2.90, 2 Th 2.85
S  0.7430  0.2555  0.2555  1 Er 2.78, 3 Pm 2.83-2.90, 2 Th 2.85
S  0.7445  0.2570  0.7445  1 Er 2.78, 3 Pm 2.83-2.90, 2 Th 2.85
S  0.7445  0.7445  0.2570  1 Er 2.78, 3 Pm 2.83-2.90, 2 Th 2.85
S  0.7488  0.7488  0.7488  3 Pm 2.83, 3 Th 2.85

# 7
## Pm3Er2ThS6 (GGA-PBE)

Data for crystalline Pm3Er2ThS6 at its relaxed geometry.

Computed properties:
formation energy (no corrections) = -1968.3 meV/atom
spin magnetization = 0.00 μB/f.u.
E = -79.18 eV for the cell shown
SG = C2/m, No. 12

Cell: 8.8915 8.8915 8.0002 Å, 102.78 102.78 25.79°
Last column: nearest neighbours and their distance in Å.
Sites, in units of the cell vectors:
Pm  0.0000  0.0000  0.0000  6 S 2.80-2.89
Pm  0.3374  0.3374  0.6664  6 S 2.84-2.90
Pm  0.6626  0.6626  0.3336  6 S 2.84-2.90
Er  0.3341  0.3341  0.1689  6 S 2.71-2.77
Er  0.6659  0.6659  0.8311  6 S 2.71-2.77
Th  0.0000  0.0000  0.5000  6 S 2.84-2.86
S  0.1695  0.1695  0.5963  2 Er 2.74, 3 Pm 2.84-2.87, 1 Th 2.86
S  0.1710  0.1710  0.0745  3 Er 2.76-2.77, 3 Pm 2.89-2.90
S  0.4945  0.4945  0.2444  1 Er 2.71, 3 Pm 2.80-2.84, 2 Th 2.84
S  0.5055  0.5055  0.7556  1 Er 2.71, 3 Pm 2.80-2.84, 2 Th 2.84
S  0.8290  0.8290  0.9255  3 Er 2.76-2.77, 3 Pm 2.89-2.90
S  0.8305  0.8305  0.4037  2 Er 2.74, 3 Pm 2.84-2.87, 1 Th 2.86

# 8
## Pm2ErThS4 (GGA-PBE)

Data for crystalline Pm2ErThS4 at its relaxed geometry.

Computed properties:
formation energy (no corrections) = -1953.6 meV/atom
spin magnetization = 0.00 μB/f.u.
E = -53.62 eV for the cell shown
SG = P2/m, No. 10

Cell: 6.9096 3.9673 6.9703 Å, 90.00 109.14 90.00°
Last column: nearest neighbours and their distance in Å.
Sites, in units of the cell vectors:
Pm  0.0000  0.0000  0.0000  6 S 2.89
Pm  0.0000  0.5000  0.5000  6 S 2.82
Er  0.5000  0.0000  0.5000  6 S 2.76
Th  0.5000  0.5000  0.0000  6 S 2.84
S  0.2540  0.0000  0.7426  1 Er 2.76, 3 Pm 2.82-2.89, 2 Th 2.84
S  0.2607  0.5000  0.2617  2 Er 2.76, 3 Pm 2.82-2.89, 1 Th 2.84
S  0.7393  0.5000  0.7383  2 Er 2.76, 3 Pm 2.82-2.89, 1 Th 2.84
S  0.7460  0.0000  0.2574  1 Er 2.76, 3 Pm 2.82-2.89, 2 Th 2.84

# 9
## PmErTh2S4 (GGA-PBE)

Data for crystalline PmErTh2S4 at its relaxed geometry.

Computed properties:
formation energy (no corrections) = -1900.1 meV/atom
spin magnetization = 0.00 μB/f.u.
E = -55.86 eV for the cell shown
SG = P2/m, No. 10

Cell: 6.8294 3.9804 7.0302 Å, 90.00 109.13 90.00°
Last column: nearest neighbours and their distance in Å.
Sites, in units of the cell vectors:
Pm  0.0000  0.0000  0.0000  6 S 2.81
Er  0.5000  0.5000  0.0000  6 S 2.75-2.76
Th  0.0000  0.5000  0.5000  6 S 2.90
Th  0.5000  0.0000  0.5000  6 S 2.84-2.85
S  0.2542  0.5000  0.2406  1 Er 2.75, 2 Pm 2.81, 3 Th 2.85-2.90
S  0.2615  0.0000  0.7641  2 Er 2.76, 1 Pm 2.81, 3 Th 2.84-2.90
S  0.7385  0.0000  0.2359  2 Er 2.76, 1 Pm 2.81, 3 Th 2.84-2.90
S  0.7458  0.5000  0.7594  1 Er 2.75, 2 Pm 2.81, 3 Th 2.85-2.90

# 10
## PmEr3Th4S8 (GGA-PBE)

Data for crystalline PmEr3Th4S8 at its relaxed geometry.

Computed properties:
formation energy (no corrections) = -1902.4 meV/atom
spin magnetization = 0.00 μB/f.u.
E = -111.58 eV for the cell shown
SG = R-3m, No. 166

Cell: 8.0957 8.0957 8.0957 Å, 57.68 57.68 57.68°
Last column: nearest neighbours and their distance in Å.
Sites, in units of the cell vectors:
Pm  0.0000  0.0000  0.0000  6 S 2.79
Er  0.0000  0.5000  0.5000  6 S 2.73-2.74
Er  0.5000  0.0000  0.5000  6 S 2.73-2.74
Er  0.5000  0.5000  0.0000  6 S 2.73-2.74
Th  0.0000  0.0000  0.5000  6 S 2.89
Th  0.0000  0.5000  0.0000  6 S 2.89
Th  0.5000  0.0000  0.0000  6 S 2.89
Th  0.5000  0.5000  0.5000  6 S 2.84
S  0.2484  0.2484  0.7380  2 Er 2.73, 1 Pm 2.79, 3 Th 2.84-2.89
S  0.2484  0.7380  0.2484  2 Er 2.73, 1 Pm 2.79, 3 Th 2.84-2.89
S  0.2566  0.2566  0.2566  3 Er 2.74, 3 Th 2.89
S  0.2620  0.7516  0.7516  2 Er 2.73, 1 Pm 2.79, 3 Th 2.84-2.89
S  0.7380  0.2484  0.2484  2 Er 2.73, 1 Pm 2.79, 3 Th 2.84-2.89
S  0.7434  0.7434  0.7434  3 Er 2.74, 3 Th 2.89
S  0.7516  0.2620  0.7516  2 Er 2.73, 1 Pm 2.79, 3 Th 2.84-2.89
S  0.7516  0.7516  0.2620  2 Er 2.73, 1 Pm 2.79, 3 Th 2.84-2.89

# 11
## Pm3ErTl4S8 (GGA-PBE)

Data for crystalline Pm3ErTl4S8 at its relaxed geometry.

Computed properties:
formation energy (no corrections) = -1468.1 meV/atom
spin magnetization = 0.00 μB/f.u.
E = -84.79 eV for the cell shown
SG = R-3m, No. 166

Cell: 8.8828 8.8828 8.8828 Å, 55.15 55.15 55.15°
Last column: nearest neighbours and their distance in Å.
Sites, in units of the cell vectors:
Pm  0.0000  0.5000  0.5000  6 S 2.82-2.83
Pm  0.5000  0.0000  0.5000  6 S 2.82-2.83
Pm  0.5000  0.5000  0.0000  6 S 2.82-2.83
Er  0.0000  0.0000  0.0000  6 S 2.76
Tl  0.0000  0.0000  0.5000  6 S 3.25
Tl  0.0000  0.5000  0.0000  6 S 3.25
Tl  0.5000  0.0000  0.0000  6 S 3.25
Tl  0.5000  0.5000  0.5000  6 S 3.31
S  0.2293  0.2293  0.7416  1 Er 2.76, 2 Pm 2.83
S  0.2293  0.7416  0.2293  1 Er 2.76, 2 Pm 2.83
S  0.2584  0.7707  0.7707  1 Er 2.76, 2 Pm 2.83
S  0.2654  0.2654  0.2654  3 Pm 2.82
S  0.7346  0.7346  0.7346  3 Pm 2.82
S  0.7416  0.2293  0.2293  1 Er 2.76, 2 Pm 2.83
S  0.7707  0.2584  0.7707  1 Er 2.76, 2 Pm 2.83
S  0.7707  0.7707  0.2584  1 Er 2.76, 2 Pm 2.83

# 12
## PmErTl2S4 (GGA-PBE)

Data for crystalline PmErTl2S4 at its relaxed geometry.

Computed properties:
formation energy (no corrections) = -1473.1 meV/atom
spin magnetization = 0.00 μB/f.u.
E = -42.34 eV for the cell shown
SG = P2/m, No. 10

Cell: 7.0571 4.0717 7.8734 Å, 90.00 107.35 90.00°
Last column: nearest neighbours and their distance in Å.
Sites, in units of the cell vectors:
Pm  0.0000  0.0000  0.0000  6 S 2.82-2.83
Er  0.5000  0.5000  0.0000  6 S 2.75-2.76
Tl  0.0000  0.5000  0.5000  6 S 3.29
Tl  0.5000  0.0000  0.5000  6 S 3.23
S  0.2419  0.5000  0.2011  1 Er 2.75, 2 Pm 2.82
S  0.2755  0.0000  0.8024  2 Er 2.76, 1 Pm 2.83
S  0.7245  0.0000  0.1976  2 Er 2.76, 1 Pm 2.83
S  0.7581  0.5000  0.7989  1 Er 2.75, 2 Pm 2.82